Sm3Dy2YTe6: relaxed, PBE-GGA.

Computed properties:
**Space-group type**: No. 12

Cell and atoms, written as POSCAR:
```
Sm3Dy2YTe6
1.0
4.376 0.000 0.000
0.000 8.854 0.285
-2.188 -2.583 9.253
Sm Dy Y Te
3 2 1 6
Direct
0.500 0.500 0.000
0.834 0.168 0.668
0.166 0.832 0.332
0.833 0.668 0.667
0.167 0.332 0.333
0.500 0.000 0.000
0.335 0.913 0.669
0.668 0.578 0.337
0.665 0.087 0.331
0.002 0.246 0.004
0.998 0.754 0.996
0.332 0.422 0.663
```

Sm3Dy3YTe8: relaxed, PBE-GGA.

Computed properties:
**Space-group type**: No. 166

Cell and atoms, written as POSCAR:
```
Sm3Dy3YTe8
1.0
-6.929 -2.909 4.492
7.674 1.156 4.053
-4.641 6.957 -2.654
Sm Dy Y Te
3 3 1 8
Direct
0.000 0.000 0.000
0.000 0.500 0.000
0.500 0.500 0.000
0.500 0.000 0.500
0.500 0.500 0.500
0.000 0.500 0.500
0.000 0.000 0.500
0.252 0.505 0.257
0.748 0.495 0.743
0.746 0.492 0.251
0.254 0.508 0.749
0.746 0.005 0.251
0.254 0.995 0.749
0.259 0.005 0.251
0.741 0.995 0.749
```

Sm2DyY3Te6: relaxed, PBE-GGA.

Computed properties:
**Space-group type**: No. 12

Cell and atoms, written as POSCAR:
```
Sm2DyY3Te6
1.0
-2.805 1.041 3.183
-6.725 -0.846 -5.650
2.302 -9.311 2.077
Sm Dy Y Te
2 1 3 6
Direct
0.831 0.664 0.663
0.169 0.336 0.337
0.500 0.000 0.000
0.500 0.500 0.000
0.830 0.166 0.660
0.170 0.834 0.340
0.335 0.922 0.670
0.664 0.587 0.328
0.665 0.078 0.330
0.998 0.248 0.996
0.002 0.752 0.004
0.336 0.413 0.672
```

Record-wise uncorrected formation energy values, in eV per atom: -1.338, -1.400, -1.330